The following is a DFT calculation (PBE) of PrDyCuS3 after structural relaxation.

Cell lengths 6.687, 6.687, 10.155 Å; angles 90.00, 90.00, 146.64 degrees
Atoms (fractional coordinates):
Pr 0.239 0.761 0.750
Pr 0.761 0.239 0.250
Dy 0.000 0.000 0.000
Dy 0.000 0.000 0.500
Cu 0.476 0.524 0.250
Cu 0.524 0.476 0.750
S 0.085 0.915 0.250
S 0.358 0.642 0.073
S 0.358 0.642 0.427
S 0.642 0.358 0.573
S 0.642 0.358 0.927
S 0.915 0.085 0.750

* total DFT energy (no corrections): -34.9 eV/f.u.
* symmetry: No. 63
* V: 250 Å³/cell
* total magnetic moment: 0.01 μB/cell

***

The following is a DFT calculation (PBE) of PrDyCu2Sb4 after structural relaxation.

Cell lengths 4.350, 4.350, 9.987 Å; angles 90.00, 90.00, 90.00 degrees
Atoms (fractional coordinates):
Pr 0.000 0.000 0.000
Dy 0.500 0.500 0.498
Cu 0.000 0.500 0.259
Cu 0.500 0.000 0.259
Sb 0.000 0.000 0.415
Sb 0.000 0.500 0.743
Sb 0.500 0.000 0.743
Sb 0.500 0.500 0.102

* total DFT energy (no corrections): -38.5 eV/f.u.
* symmetry: No. 99
* V: 189 Å³/cell
* total magnetic moment: 0.02 μB/cell

***

The following is a DFT calculation (PBE) of PrDyCuSi3 after structural relaxation.

Cell lengths 8.128, 8.057, 5.801 Å; angles 69.65, 68.34, 42.00 degrees
Atoms (fractional coordinates):
Pr 0.244 0.756 0.244
Pr 0.756 0.244 0.756
Dy 0.250 0.250 0.250
Dy 0.750 0.750 0.750
Cu 0.332 0.332 0.668
Cu 0.668 0.668 0.332
Si 0.169 0.659 0.831
Si 0.170 0.170 0.830
Si 0.341 0.831 0.659
Si 0.659 0.169 0.341
Si 0.830 0.830 0.170
Si 0.831 0.341 0.169

* symmetry: No. 69
* V: 235 Å³/cell
* distance to the lowest polymorph of the same formula: 0 meV/atom
* total magnetic moment: 0.01 μB/cell

***

The following is a DFT calculation (PBE) of PrDyCuSi3 after structural relaxation.

Cell lengths 8.151, 8.087, 5.808 Å; angles 69.63, 68.46, 41.92 degrees
Atoms (fractional coordinates):
Pr 0.250 0.250 0.250
Pr 0.750 0.750 0.750
Dy 0.243 0.757 0.243
Dy 0.757 0.243 0.757
Cu 0.335 0.335 0.665
Cu 0.665 0.665 0.335
Si 0.167 0.167 0.833
Si 0.172 0.661 0.828
Si 0.339 0.828 0.661
Si 0.661 0.172 0.339
Si 0.828 0.339 0.172
Si 0.833 0.833 0.167

* symmetry: No. 69
* V: 236 Å³/cell
* distance to the lowest polymorph of the same formula: 7 meV/atom
* total magnetic moment: 0.00 μB/cell

***

The following is a DFT calculation (PBE) of PrDyCu2Sn2 after structural relaxation.

Cell lengths 4.573, 4.573, 7.426 Å; angles 90.00, 90.00, 120.00 degrees
Atoms (fractional coordinates):
Pr 0.000 0.000 0.000
Dy 0.000 0.000 0.499
Cu 0.333 0.667 0.795
Cu 0.667 0.333 0.324
Sn 0.333 0.667 0.240
Sn 0.667 0.333 0.721

* total DFT energy (no corrections): -28.4 eV/f.u.
* symmetry: No. 156
* V: 134 Å³/cell
* total magnetic moment: 0.01 μB/cell

***

The following is a DFT calculation (PBE) of Pr2DyCu4Sn4 after structural relaxation.

Cell lengths 8.549, 8.549, 8.549 Å; angles 148.98, 132.32, 57.97 degrees
Atoms (fractional coordinates):
Pr 0.132 0.132 0.000
Pr 0.868 0.868 0.000
Dy 0.500 0.000 0.500
Cu 0.144 0.330 0.814
Cu 0.484 0.670 0.814
Cu 0.516 0.330 0.186
Cu 0.856 0.670 0.186
Sn 0.207 0.500 0.707
Sn 0.286 0.786 0.500
Sn 0.714 0.214 0.500
Sn 0.793 0.500 0.293

* total DFT energy (no corrections): -50.8 eV/f.u.
* symmetry: No. 71
* V: 236 Å³/cell
* total magnetic moment: 0.02 μB/cell

***

The following is a DFT calculation (PBE) of DyCuPt after structural relaxation.

Cell lengths 4.530, 4.530, 4.530 Å; angles 60.00, 60.00, 60.00 degrees
Atoms (fractional coordinates):
Dy 0.000 0.000 0.000
Cu 0.500 0.500 0.500
Pt 0.750 0.750 0.750

* energy relative to the elements: -0.62 eV/atom
* symmetry: No. 216
* V: 66 Å³/cell
* total magnetic moment: 0.00 μB/cell

***

The following is a DFT calculation (PBE) of Dy2CuPt after structural relaxation.

Cell lengths 5.577, 4.478, 7.047 Å; angles 90.00, 90.27, 90.00 degrees
Atoms (fractional coordinates):
Dy 0.134 0.250 0.187
Dy 0.357 0.250 0.676
Dy 0.643 0.750 0.324
Dy 0.866 0.750 0.813
Cu 0.380 0.750 0.969
Cu 0.620 0.250 0.031
Pt 0.160 0.750 0.452
Pt 0.840 0.250 0.548

* energy relative to the elements: -0.79 eV/atom
* symmetry: No. 11
* V: 176 Å³/cell
* total magnetic moment: 0.01 μB/cell

***

The following is a DFT calculation (PBE) of Dy2CuPt after structural relaxation.

Cell lengths 4.262, 5.589, 7.266 Å; angles 90.00, 90.00, 90.00 degrees
Atoms (fractional coordinates):
Dy 0.000 0.109 0.000
Dy 0.000 0.891 0.500
Dy 0.500 0.382 0.635
Dy 0.500 0.618 0.135
Cu 0.000 0.391 0.357
Cu 0.000 0.609 0.857
Pt 0.500 0.115 0.280
Pt 0.500 0.885 0.780

* energy relative to the elements: -0.80 eV/atom
* symmetry: No. 26
* V: 173 Å³/cell
* total magnetic moment: 0.01 μB/cell

***

The following is a DFT calculation (PBE) of Dy2CuPt after structural relaxation.

Cell lengths 5.531, 4.484, 7.492 Å; angles 90.00, 109.88, 90.00 degrees
Atoms (fractional coordinates):
Dy 0.221 0.250 0.434
Dy 0.224 0.250 0.928
Dy 0.776 0.750 0.072
Dy 0.779 0.750 0.566
Cu 0.341 0.750 0.209
Cu 0.659 0.250 0.791
Pt 0.343 0.750 0.713
Pt 0.657 0.250 0.287

* energy relative to the elements: -0.82 eV/atom
* symmetry: No. 11
* V: 175 Å³/cell
* total magnetic moment: 0.01 μB/cell

***

The following is a DFT calculation (PBE) of DyPuCu after structural relaxation.

Cell lengths 4.731, 4.731, 4.731 Å; angles 60.00, 60.00, 60.00 degrees
Atoms (fractional coordinates):
Dy 0.000 0.000 0.000
Pu 0.500 0.500 0.500
Cu 0.250 0.250 0.250

* energy relative to the elements: 0.22 eV/atom
* symmetry: No. 216
* V: 75 Å³/cell
* distance to the lowest polymorph of the same formula: 0 meV/atom
* total magnetic moment: 6.40 μB/cell

***

The following is a DFT calculation (PBE) of RbDy2Cu4 after structural relaxation.

Cell lengths 4.872, 4.872, 6.630 Å; angles 90.00, 90.00, 90.00 degrees
Atoms (fractional coordinates):
Rb 0.000 0.000 0.000
Dy 0.000 0.000 0.500
Dy 0.500 0.500 0.000
Cu 0.000 0.500 0.293
Cu 0.000 0.500 0.707
Cu 0.500 0.000 0.293
Cu 0.500 0.000 0.707

* total DFT energy (no corrections): -21.5 eV/f.u.
* symmetry: No. 123
* V: 157 Å³/cell
* total magnetic moment: 0.01 μB/cell